Entry 1:
# CaErHgAu

A geometry-optimized CaErHgAu structure (PBE-GGA, Alexandria via LeMat-Bulk).

Lattice parameters (Å, degrees): 3.632 3.632 7.505 90.00 90.00 90.00
Atoms (fractional coordinates):
Ca 0.000 0.000 0.000
Er 0.000 0.000 0.471
Hg 0.500 0.500 0.727
Au 0.500 0.500 0.263

Its volume is 24.7 A^3/atom. The calculation puts the energy above the most stable polymorph in this dataset at 0.000 eV/atom. The value obtained for the energy of formation from the pure elements is -0.68 eV per atom.

***

Entry 2:
# CaHo2ErAu4

A geometry-optimized CaHo2ErAu4 structure (PBE-GGA, Alexandria via LeMat-Bulk).

Lattice parameters (Å, degrees): 8.835 8.835 8.835 33.27 33.27 33.27
Atoms (fractional coordinates):
Ca 0.000 0.000 0.000
Ho 0.251 0.251 0.251
Ho 0.749 0.749 0.749
Er 0.500 0.500 0.500
Au 0.130 0.130 0.130
Au 0.379 0.379 0.379
Au 0.621 0.621 0.621
Au 0.870 0.870 0.870

Its volume is 23.1 A^3/atom. The value obtained for the energy of formation from the pure elements is -0.86 eV per atom.

***

Entry 3:
# CaHoEr2Au4

A geometry-optimized CaHoEr2Au4 structure (PBE-GGA, Alexandria via LeMat-Bulk).

Lattice parameters (Å, degrees): 8.820 8.820 8.820 33.30 33.30 33.30
Atoms (fractional coordinates):
Ca 0.000 0.000 0.000
Ho 0.500 0.500 0.500
Er 0.252 0.252 0.252
Er 0.748 0.748 0.748
Au 0.130 0.130 0.130
Au 0.379 0.379 0.379
Au 0.621 0.621 0.621
Au 0.870 0.870 0.870

Its volume is 23.0 A^3/atom. The value obtained for the energy of formation from the pure elements is -0.85 eV per atom.

***

Entry 4:
# CaErInAu

A geometry-optimized CaErInAu structure (PBE-GGA, Alexandria via LeMat-Bulk).

Lattice parameters (Å, degrees): 5.219 5.219 5.219 60.00 60.00 60.00
Atoms (fractional coordinates):
Ca 0.000 0.000 0.000
Er 0.500 0.500 0.500
In 0.250 0.250 0.250
Au 0.750 0.750 0.750

Its volume is 25.1 A^3/atom. The calculation puts the energy above the most stable polymorph in this dataset at 0.062 eV/atom. The value obtained for the energy of formation from the pure elements is -0.60 eV per atom.

***

Entry 5:
# CaEr2InAu4

A geometry-optimized CaEr2InAu4 structure (PBE-GGA, Alexandria via LeMat-Bulk).

Lattice parameters (Å, degrees): 8.724 8.724 8.724 33.15 33.15 33.15
Atoms (fractional coordinates):
Ca 0.000 0.000 0.000
Er 0.245 0.245 0.245
Er 0.755 0.755 0.755
In 0.500 0.500 0.500
Au 0.122 0.122 0.122
Au 0.374 0.374 0.374
Au 0.626 0.626 0.626
Au 0.878 0.878 0.878

Its volume is 22.1 A^3/atom. The value obtained for the energy of formation from the pure elements is -0.76 eV per atom.

***

Entry 6:
# CaErInAu

A geometry-optimized CaErInAu structure (PBE-GGA, Alexandria via LeMat-Bulk).

Lattice parameters (Å, degrees): 3.685 3.685 7.519 90.00 90.00 90.00
Atoms (fractional coordinates):
Ca 0.000 0.000 0.000
Er 0.000 0.000 0.539
In 0.500 0.500 0.279
Au 0.500 0.500 0.738

Its volume is 25.5 A^3/atom. The calculation puts the energy above the most stable polymorph in this dataset at 0.000 eV/atom. The value obtained for the energy of formation from the pure elements is -0.66 eV per atom.

***

Entry 7:
# CaErIn2Au4

A geometry-optimized CaErIn2Au4 structure (PBE-GGA, Alexandria via LeMat-Bulk).

Lattice parameters (Å, degrees): 8.550 8.550 8.550 33.73 33.73 33.73
Atoms (fractional coordinates):
Ca 0.000 0.000 0.000
Er 0.500 0.500 0.500
In 0.252 0.252 0.252
In 0.748 0.748 0.748
Au 0.129 0.129 0.129
Au 0.378 0.378 0.378
Au 0.622 0.622 0.622
Au 0.871 0.871 0.871

Its volume is 21.5 A^3/atom. The value obtained for the energy of formation from the pure elements is -0.65 eV per atom.

***

Entry 8:
# CaLaEr2Au4

A geometry-optimized CaLaEr2Au4 structure (PBE-GGA, Alexandria via LeMat-Bulk).

Lattice parameters (Å, degrees): 9.107 9.107 9.107 32.44 32.44 32.44
Atoms (fractional coordinates):
Ca 0.000 0.000 0.000
La 0.500 0.500 0.500
Er 0.255 0.255 0.255
Er 0.745 0.745 0.745
Au 0.118 0.118 0.118
Au 0.377 0.377 0.377
Au 0.623 0.623 0.623
Au 0.882 0.882 0.882

Its volume is 24.2 A^3/atom. The value obtained for the energy of formation from the pure elements is -0.81 eV per atom.

***

Entry 9:
# LiCaErAu

A geometry-optimized LiCaErAu structure (PBE-GGA, Alexandria via LeMat-Bulk).

Lattice parameters (Å, degrees): 5.108 5.108 5.108 60.00 60.00 60.00
Atoms (fractional coordinates):
Li 0.000 0.000 0.000
Ca 0.750 0.750 0.750
Er 0.250 0.250 0.250
Au 0.500 0.500 0.500

Its volume is 23.6 A^3/atom. The value obtained for the energy of formation from the pure elements is -0.40 eV per atom.

***

Entry 10:
# CaEr2MgAu4

A geometry-optimized CaEr2MgAu4 structure (PBE-GGA, Alexandria via LeMat-Bulk).

Lattice parameters (Å, degrees): 8.640 8.640 8.640 33.42 33.42 33.42
Atoms (fractional coordinates):
Ca 0.000 0.000 0.000
Er 0.247 0.247 0.247
Er 0.753 0.753 0.753
Mg 0.500 0.500 0.500
Au 0.126 0.126 0.126
Au 0.379 0.379 0.379
Au 0.621 0.621 0.621
Au 0.874 0.874 0.874

Its volume is 21.8 A^3/atom. The value obtained for the energy of formation from the pure elements is -0.79 eV per atom.

***

Entry 11:
# CaErMgAu

A geometry-optimized CaErMgAu structure (PBE-GGA, Alexandria via LeMat-Bulk).

Lattice parameters (Å, degrees): 5.208 5.208 5.208 60.00 60.00 60.00
Atoms (fractional coordinates):
Ca 0.000 0.000 0.000
Er 0.500 0.500 0.500
Mg 0.750 0.750 0.750
Au 0.250 0.250 0.250

Its volume is 25.0 A^3/atom. The value obtained for the energy of formation from the pure elements is -0.38 eV per atom.

***

Entry 12:
# CaErPbAu

A geometry-optimized CaErPbAu structure (PBE-GGA, Alexandria via LeMat-Bulk).

Lattice parameters (Å, degrees): 5.272 5.272 5.272 60.00 60.00 60.00
Atoms (fractional coordinates):
Ca 0.000 0.000 0.000
Er 0.500 0.500 0.500
Pb 0.250 0.250 0.250
Au 0.750 0.750 0.750

Its volume is 25.9 A^3/atom. The value obtained for the energy of formation from the pure elements is -0.65 eV per atom.